# 1
Pm2Nd5Er3 (GGA-PBE, optimized geometry); E_form = 0.367 eV/atom; total energy = -4.34 eV per atom; M_tot = 0.0000 μB/atom; energy relative to the lowest polymorph listed for this composition = 184 meV per atom
1.0
-3.5473 -5.6203 1.7489
3.9702 -9.0706 -7.5938
8.3581 -9.2318 0.7879
Nd Pm Er
10 4 6
direct
0.6269 0.2775 0.4688 Nd
0.1269 0.4688 0.2775 Nd
0.0028 0.2472 0.2472 Nd
0.4972 0.7528 0.7528 Nd
0.5028 0.2472 0.2472 Nd
0.3731 0.7225 0.5312 Nd
0.8731 0.5312 0.7225 Nd
0.7500 0.5000 0.5000 Nd
0.2500 0.5000 0.5000 Nd
0.9972 0.7528 0.7528 Nd
0.6214 0.9766 0.7807 Pm
0.1214 0.7807 0.9766 Pm
0.8786 0.2193 0.0234 Pm
0.3786 0.0234 0.2193 Pm
0.1191 0.1274 0.6344 Er
0.7500 0.0000 0.0000 Er
0.8809 0.8726 0.3656 Er
0.3809 0.3656 0.8726 Er
0.2500 0.0000 0.0000 Er
0.6191 0.6344 0.1274 Er

# 2
Pm8NdEr2 (GGA-PBE, optimized geometry); E_form = 0.140 eV/atom; total energy = -4.58 eV per atom; M_tot = 0.0000 μB/atom; energy relative to the lowest polymorph listed for this composition = 0 meV per atom
1.0
-8.8505 -1.8665 1.0450
-6.7249 -7.5014 -2.4360
-5.9779 -7.0767 4.6491
Er Pm Nd
2 8 1
direct
0.6832 0.8334 0.8334 Er
0.3168 0.1666 0.1666 Er
0.2103 0.3340 0.7803 Pm
0.2103 0.7803 0.3340 Pm
0.7897 0.6660 0.2197 Pm
0.6860 0.6580 0.6580 Pm
0.7585 0.2921 0.2921 Pm
0.2415 0.7079 0.7079 Pm
0.3140 0.3420 0.3420 Pm
0.7897 0.2197 0.6660 Pm
0.0000 0.0000 0.0000 Nd

# 3
Pm2NdEr5 (GGA-PBE, optimized geometry); E_form = 0.176 eV/atom; total energy = -4.46 eV per atom; M_tot = 0.0000 μB/atom
1.0
9.0860 0.0000 -3.8870
-1.0032 5.9498 -2.3451
-0.7921 -1.7733 10.7114
Er Pm Nd
10 4 2
direct
0.3114 0.9442 0.8018 Er
0.5096 0.5558 0.1982 Er
0.7148 0.1300 0.6091 Er
0.2852 0.8700 0.3909 Er
0.0570 0.2500 0.0000 Er
0.6886 0.0558 0.1982 Er
0.4904 0.4442 0.8018 Er
0.1057 0.3700 0.3909 Er
0.8943 0.6300 0.6091 Er
0.9430 0.7500 0.0000 Er
0.8227 0.5396 0.1529 Pm
0.1773 0.4604 0.8471 Pm
0.3301 0.0396 0.1529 Pm
0.6699 0.9604 0.8471 Pm
0.5000 0.5000 0.5000 Nd
0.0000 0.0000 0.5000 Nd